Entry 1:
First-principles (PBE) data for crystalline KCN2 at its relaxed geometry, as listed in Alexandria.

The calculation puts the uncorrected formation energy at 3123 meV/atom. The density of states at the Fermi level is 1.6 states/eV/cell. For the total energy, the calculation gives -14.48 eV/f.u.

The structure belongs to space group Fm-3m (No. 225); the cell edges are 6.1094, 6.1094 and 6.1094 Å and the angles 90.00°, 90.00° and 90.00°. Symmetry generates all atoms from K at (0.0000, 0.0000, 0.0000), C at (0.0000, 0.0000, 0.5000) and N at (0.2500, 0.2500, 0.2500).

Entry 2:
First-principles (PBE) data for crystalline U2PaMn9 at its relaxed geometry, as listed in Alexandria.

The density of states at the Fermi level is 40.2 states/eV/cell. For the total energy, the calculation gives -113.97 eV/f.u. The calculated formation energy comes out at 0.6 eV/f.u.

The structure belongs to space group P4/mbm (No. 127); the cell edges are 8.1266, 8.1266 and 5.1601 Å and the angles 90.00°, 90.00° and 90.00°. Symmetry generates all atoms from U at (0.1164, 0.3836, 0.0000), Pa at (0.0000, 0.0000, 0.0000), Mn at (0.0000, 0.5000, 0.5000), Mn at (0.0687, 0.2035, 0.5000) and Mn at (0.1822, 0.6822, 0.2529).

Entry 3:
First-principles (PBE) data for crystalline CsPu2Ag2Se6 at its relaxed geometry, as listed in Alexandria.

The calculation puts the uncorrected formation energy at -808 meV/atom. The density of states at the Fermi level is 15.1 states/eV/cell. For the total energy, the calculation gives -65.01 eV/f.u.

The structure belongs to space group P-1 (No. 2); the cell edges are 7.6059, 7.6533 and 7.9816 Å and the angles 66.00°, 65.18° and 61.68°. Symmetry generates all atoms from Cs at (0.0000, 0.0000, 0.0000), Pu at (0.3311, 0.3348, 0.9974), Ag at (0.4210, 0.7003, 0.5596), Se at (0.0729, 0.6403, 0.7646), Se at (0.3290, 0.5374, 0.2274) and Se at (0.4926, 0.0576, 0.7696).

Entry 4:
First-principles (PBE) data for crystalline SrZnSi2S6 at its relaxed geometry, as listed in Alexandria.

The calculation puts the uncorrected formation energy at -882 meV/atom. The density of states at the Fermi level is 0.0 states/eV/cell. For the total energy, the calculation gives -47.39 eV/f.u.

The structure belongs to space group C2/c (No. 15); the cell edges are 12.4920, 12.6835 and 6.5776 Å and the angles 90.00°, 109.95° and 90.00°. Symmetry generates all atoms from Sr at (0.0000, 0.1203, 0.2500), Zn at (0.0000, 0.2448, 0.7500), Si at (0.1998, 0.4269, 0.1976), S at (0.1201, 0.0833, 0.7082), S at (0.1281, 0.2763, 0.0846) and S at (0.1373, 0.4447, 0.4713).

Entry 5:
First-principles (PBE) data for crystalline AcPr2Ni4 at its relaxed geometry, as listed in Alexandria.

The density of states at the Fermi level is 12.5 states/eV/cell. For the total energy, the calculation gives -38.81 eV/f.u. The calculated formation energy comes out at -2.0 eV/f.u.

The structure belongs to space group Immm (No. 71); the cell edges are 4.1239, 4.1577 and 17.7728 Å and the angles 90.00°, 90.00° and 90.00°. Symmetry generates all atoms from Ac at (0.0000, 0.0000, 0.0000), Pr at (0.0000, 0.5000, 0.1845), Ni at (0.0000, 0.0000, 0.4317) and Ni at (0.0000, 0.5000, 0.3563).

Entry 6:
First-principles (PBE) data for crystalline RbSrZr2Ga at its relaxed geometry, as listed in Alexandria.

The density of states at the Fermi level is 4.3 states/eV/cell. For the total energy, the calculation gives -13.87 eV/f.u. The calculated formation energy comes out at 8.9 eV/f.u.

The structure belongs to space group P4/mmm (No. 123); the cell edges are 5.2430, 5.2430 and 5.6364 Å and the angles 90.00°, 90.00° and 90.00°. Symmetry generates all atoms from Rb at (0.0000, 0.0000, 0.0000), Sr at (0.0000, 0.0000, 0.5000), Zr at (0.0000, 0.5000, 0.0000) and Ga at (0.5000, 0.5000, 0.5000).

Entry 7:
First-principles (PBE) data for crystalline LiTa2Ru at its relaxed geometry, as listed in Alexandria.

The density of states at the Fermi level is 11.8 states/eV/cell. For the total energy, the calculation gives -32.81 eV/f.u. The calculated formation energy comes out at 2.1 eV/f.u.

The structure belongs to space group I-42d (No. 122); the cell edges are 7.1728, 7.1728 and 5.4788 Å and the angles 90.00°, 90.00° and 90.00°. Symmetry generates all atoms from Li at (0.0000, 0.0000, 0.0000), Ta at (0.2207, 0.2500, 0.6250) and Ru at (0.0000, 0.0000, 0.5000).

Entry 8:
First-principles (PBE) data for crystalline PmNi2Sn at its relaxed geometry, as listed in Alexandria.

The density of states at the Fermi level is 3.1 states/eV/cell. For the total energy, the calculation gives -21.06 eV/f.u. The calculated formation energy comes out at -0.7 eV/f.u.

The structure belongs to space group P4/mmm (No. 123); the cell edges are 3.3087, 3.3087 and 6.7117 Å and the angles 90.00°, 90.00° and 90.00°. Symmetry generates all atoms from Pm at (0.0000, 0.0000, 0.0000), Ni at (0.5000, 0.5000, 0.2931) and Sn at (0.0000, 0.0000, 0.5000).

Entry 9:
First-principles (PBE) data for crystalline TaMn3V2 at its relaxed geometry, as listed in Alexandria.

The density of states at the Fermi level is 2.5 states/eV/cell. For the total energy, the calculation gives -58.96 eV/f.u. The calculated formation energy comes out at -1.4 eV/f.u.

The structure belongs to space group P4/mmm (No. 123); the cell edges are 2.9429, 2.9429 and 8.8280 Å and the angles 90.00°, 90.00° and 90.00°. Symmetry generates all atoms from Ta at (0.0000, 0.0000, 0.0000), Mn at (0.5000, 0.5000, 0.1791), Mn at (0.5000, 0.5000, 0.5000) and V at (0.0000, 0.0000, 0.3388).

Entry 10:
First-principles (PBE) data for crystalline Li8Ag2Sn at its relaxed geometry, as listed in Alexandria.

The density of states at the Fermi level is 7.8 states/eV/cell. For the total energy, the calculation gives -26.80 eV/f.u. The calculated formation energy comes out at -1.8 eV/f.u.

The structure belongs to space group C2/m (No. 12); the cell edges are 7.6736, 12.1523 and 4.7549 Å and the angles 90.00°, 108.95° and 90.00°. Symmetry generates all atoms from Li at (0.0000, 0.2275, 0.0000), Li at (0.1225, 0.5000, 0.8275), Li at (0.1855, 0.1128, 0.5927), Ag at (0.0000, 0.3199, 0.5000) and Sn at (0.0000, 0.0000, 0.0000).

Entry 11:
First-principles (PBE) data for crystalline LaNdEr2Hg4 at its relaxed geometry, as listed in Alexandria.

The density of states at the Fermi level is 25.7 states/eV/cell. For the total energy, the calculation gives -23.74 eV/f.u. The calculated formation energy comes out at -3.7 eV/f.u.

The structure belongs to space group R-3m (No. 166, hexagonal axes); the cell edges are 5.3618, 5.3618 and 26.2647 Å and the angles 90.00°, 90.00° and 120.00°. Symmetry generates all atoms from La at (0.0000, 0.0000, 0.0000), Nd at (0.0000, 0.0000, 0.5000), Er at (0.0000, 0.0000, 0.2495), Hg at (0.0000, 0.0000, 0.1261) and Hg at (0.0000, 0.0000, 0.3761).

Entry 12:
First-principles (PBE) data for crystalline BaAgCl at its relaxed geometry, as listed in Alexandria.

The calculation puts the uncorrected formation energy at -1031 meV/atom. For the total energy, the calculation gives -9.71 eV/f.u.

The structure belongs to space group P3m1 (No. 156); the cell edges are 5.1384, 5.1384 and 4.9650 Å and the angles 90.00°, 90.00° and 120.00°. Symmetry generates all atoms from Ba at (0.0000, 0.0000, 0.0000), Ag at (0.3333, 0.6667, 0.5633) and Cl at (0.6667, 0.3333, 0.1063).

Which spin magnetization belongs to each record? In order, 3.00 4.95 6.96 0.00 0.00 0.00 0.00 0.00 0.00 0.00 0.90 0.00 μB/f.u..